Density functional theory data (GGA+U) for an optimized crystal structure of Li2Cr3CuO8.

Summary:
ΔE to the lowest computed polymorph = 0.000 eV/f.u.
symmetry = R-3m (166)
total DFT energy (no corrections) = -92.1 eV/cell

abc: 5.925 5.925 5.925
angles: 59.69 59.69 59.69
Each line ends with the local moment (μB).
Fractional positions:
Li  0.127  0.127  0.127  0.00
O  0.291  0.745  0.745  -0.23
Cr  0.500  0.000  0.500  2.44
O  0.709  0.255  0.255  -0.23
Cu  0.500  0.500  0.500  -0.76
O  0.739  0.739  0.739  -0.03
O  0.255  0.255  0.709  -0.23
O  0.745  0.291  0.745  -0.23
Cr  0.500  0.500  0.000  2.44
O  0.261  0.261  0.261  -0.03
O  0.745  0.745  0.291  -0.23
Li  0.873  0.873  0.873  0.00
O  0.255  0.709  0.255  -0.23
Cr  0.000  0.500  0.500  2.44